{"formula": "ScIn3W", "functional": "PBE", "state": "relaxed", "lattice": [[5.222, 0.000, 0.000], [0.000, 5.222, 0.000], [0.000, 0.000, 5.222]], "species": ["In", "In", "In", "Sc", "W"], "fractional_positions": [[0.000, 0.500, 0.000], [0.500, 0.000, 0.000], [0.000, 0.000, 0.500], [0.500, 0.500, 0.500], [0.000, 0.000, 0.000]], "polymorph_energy_mev_per_atom": 0, "formation_enthalpy_0k_mev_per_atom": 711, "mass_density_g_cm3": 6.7, "space_group": "Pm-3m"}